DFT (PBE with a Hubbard U) results for a geometry-optimized Ti2MnF structure.

Lattice parameters (Å, degrees): 4.513 4.513 4.513 60.00 60.00 60.00
Sites, in units of the cell vectors:
Ti1 0.250 0.250 0.250
Ti2 0.750 0.750 0.750
Mn1 0.000 0.000 0.000
F1 0.500 0.500 0.500

- Electronic total energy: -24.58 eV/cell
- E above lowest polymorph: 0.000 eV/atom
- Magnetization: 0.010 μB per atom
- Space-group type: Fm-3m

DFT (PBE with a Hubbard U) results for a geometry-optimized TiMnF3 structure.

Lattice parameters (Å, degrees): 4.169 4.169 4.169 90.00 90.00 90.00
Sites, in units of the cell vectors:
Ti1 0.000 0.000 0.000
Mn1 0.500 0.500 0.500
F1 0.000 0.000 0.500
F2 0.000 0.500 0.000
F3 0.500 0.000 0.000

- Electronic total energy: -30.73 eV/cell
- E above lowest polymorph: 0.000 eV/atom
- Magnetization: 1.129 μB per atom
- Space-group type: Pm-3m

DFT (PBE with a Hubbard U) results for a geometry-optimized TiMnF3 structure.

Lattice parameters (Å, degrees): 4.082 4.082 4.082 90.00 90.00 90.00
Sites, in units of the cell vectors:
Ti1 0.000 0.000 0.000
Mn1 0.500 0.500 0.500
F1 0.000 0.500 0.500
F2 0.500 0.000 0.500
F3 0.500 0.500 0.000

- Electronic total energy: -23.01 eV/cell
- E above lowest polymorph: 1.543 eV/atom
- Magnetization: 0.336 μB per atom
- Space-group type: Pm-3m

DFT (PBE with a Hubbard U) results for a geometry-optimized Mn2Tl2F structure.

Lattice parameters (Å, degrees): 6.353 6.353 5.239 90.00 90.00 90.00
Sites, in units of the cell vectors:
Mn1 0.165 0.335 0.000
Mn2 0.335 0.835 0.000
Mn3 0.665 0.165 0.000
Mn4 0.835 0.665 0.000
Tl1 0.171 0.671 0.500
Tl2 0.329 0.171 0.500
Tl3 0.671 0.829 0.500
Tl4 0.829 0.329 0.500
F1 0.000 0.000 0.000
F2 0.500 0.500 0.000

- Electronic total energy: -46.20 eV/cell
- E above lowest polymorph: 0.000 eV/atom
- Magnetization: 1.800 μB per atom
- Space-group type: P4/mbm

DFT (PBE with a Hubbard U) results for a geometry-optimized Mn3TlF structure.

Lattice parameters (Å, degrees): 5.345 5.345 5.345 90.00 90.00 90.00
Sites, in units of the cell vectors:
Mn1 0.000 0.000 0.500
Mn2 0.000 0.500 0.000
Mn3 0.500 0.000 0.000
Tl1 0.000 0.000 0.000
F1 0.500 0.500 0.500

- Electronic total energy: -24.30 eV/cell
- E above lowest polymorph: 0.560 eV/atom
- Magnetization: 2.996 μB per atom
- Space-group type: Pm-3m

DFT (PBE with a Hubbard U) results for a geometry-optimized MnTl2F8 structure.

Lattice parameters (Å, degrees): 4.549 5.837 6.671 71.04 84.64 79.01
Sites, in units of the cell vectors:
Mn1 0.000 0.000 0.000
Tl1 0.179 0.668 0.637
Tl2 0.821 0.332 0.363
F1 0.160 0.958 0.328
F2 0.173 0.320 0.878
F3 0.285 0.408 0.431
F4 0.339 0.797 0.868
F5 0.661 0.203 0.132
F6 0.715 0.592 0.569
F7 0.827 0.680 0.122
F8 0.840 0.042 0.672

- Electronic total energy: -49.22 eV/cell
- Magnetization: 0.453 μB per atom
- Space-group type: P-1

DFT (PBE with a Hubbard U) results for a geometry-optimized MnTl2F6 structure.

Lattice parameters (Å, degrees): 6.046 6.046 9.962 90.00 90.00 120.00
Sites, in units of the cell vectors:
Mn1 0.333 0.667 0.000
Mn2 0.667 0.333 0.500
Tl1 0.000 0.000 0.328
Tl2 0.000 0.000 0.828
Tl3 0.333 0.667 0.610
Tl4 0.667 0.333 0.110
F1 0.046 0.523 0.892
F2 0.186 0.373 0.104
F3 0.186 0.814 0.104
F4 0.373 0.186 0.604
F5 0.477 0.523 0.892
F6 0.477 0.954 0.892
F7 0.523 0.046 0.392
F8 0.523 0.477 0.392
F9 0.627 0.814 0.104
F10 0.814 0.186 0.604
F11 0.814 0.627 0.604
F12 0.954 0.477 0.392

- Electronic total energy: -85.04 eV/cell
- Magnetization: 0.332 μB per atom
- Space-group type: P6_3mc

DFT (PBE with a Hubbard U) results for a geometry-optimized Mn2Tl2F7 structure.

Lattice parameters (Å, degrees): 6.398 6.398 6.776 95.71 95.71 118.35
Sites, in units of the cell vectors:
Mn1 0.245 0.245 0.111
Mn2 0.755 0.755 0.889
Tl1 0.182 0.818 0.500
Tl2 0.818 0.182 0.500
F1 0.049 0.049 0.828
F2 0.158 0.459 0.266
F3 0.459 0.158 0.266
F4 0.500 0.500 0.000
F5 0.541 0.842 0.734
F6 0.842 0.541 0.734
F7 0.951 0.951 0.172

- Electronic total energy: -57.18 eV/cell
- E above lowest polymorph: 0.029 eV/atom
- Magnetization: 0.818 μB per atom
- Space-group type: C2/m

DFT (PBE with a Hubbard U) results for a geometry-optimized Mn2Tl2F7 structure.

Lattice parameters (Å, degrees): 7.671 7.671 3.940 90.00 90.00 117.06
Sites, in units of the cell vectors:
Mn1 0.245 0.245 0.000
Mn2 0.755 0.755 0.000
Tl1 0.237 0.763 0.500
Tl2 0.763 0.237 0.500
F1 0.048 0.338 0.000
F2 0.214 0.214 0.500
F3 0.338 0.048 0.000
F4 0.500 0.500 0.000
F5 0.662 0.952 0.000
F6 0.786 0.786 0.500
F7 0.952 0.662 0.000

- Electronic total energy: -57.50 eV/cell
- E above lowest polymorph: 0.000 eV/atom
- Magnetization: 0.818 μB per atom
- Space-group type: Cmmm

DFT (PBE with a Hubbard U) results for a geometry-optimized MnTl5F8 structure.

Lattice parameters (Å, degrees): 7.368 7.368 7.368 114.39 114.39 100.02
Sites, in units of the cell vectors:
Mn1 0.000 0.000 0.000
Tl1 0.308 0.122 0.682
Tl2 0.374 0.692 0.814
Tl3 0.439 0.626 0.318
Tl4 0.750 0.250 0.500
Tl5 0.878 0.561 0.186
F1 0.076 0.228 0.290
F2 0.179 0.406 0.854
F3 0.214 0.924 0.152
F4 0.552 0.325 0.146
F5 0.594 0.448 0.773
F6 0.675 0.821 0.227
F7 0.772 0.062 0.848
F8 0.938 0.786 0.710

- Electronic total energy: -61.37 eV/cell
- Magnetization: 0.285 μB per atom
- Space-group type: I-4

DFT (PBE with a Hubbard U) results for a geometry-optimized Mn2TlF6 structure.

Lattice parameters (Å, degrees): 5.594 5.594 5.885 90.00 90.00 120.00
Sites, in units of the cell vectors:
Mn1 0.333 0.667 0.000
Mn2 0.667 0.333 0.000
Tl1 0.000 0.000 0.500
F1 0.000 0.386 0.187
F2 0.000 0.614 0.813
F3 0.386 0.000 0.187
F4 0.386 0.386 0.813
F5 0.614 0.000 0.813
F6 0.614 0.614 0.187

- Electronic total energy: -49.94 eV/cell
- Magnetization: 1.000 μB per atom
- Space-group type: P-31m

DFT (PBE with a Hubbard U) results for a geometry-optimized Mn2TlF structure.

Lattice parameters (Å, degrees): 5.970 5.970 5.970 109.52 109.52 109.38
Sites, in units of the cell vectors:
Mn1 0.042 0.625 0.917
Mn2 0.375 0.292 0.417
Mn3 0.708 0.125 0.083
Mn4 0.875 0.958 0.583
Tl1 0.250 0.750 0.500
Tl2 0.500 0.500 0.000
F1 0.000 0.000 0.000
F2 0.750 0.250 0.500

- Electronic total energy: -41.63 eV/cell
- E above lowest polymorph: 0.000 eV/atom
- Magnetization: 2.414 μB per atom
- Space-group type: I-42d

In the order shown, the computed density of states at the Fermi level values come out to 3.56, 6.09, 12.10, 2.63, 0.19, 1.11, 0.00, 0.39, 1.25, 0.00, 4.37, 4.43 states/eV per cell.